*i*
The following is a DFT calculation (GGA-PBE) of a relaxed CdAg2Br crystal.

Calculated values
symmetry: I-42d

Unit cell a=7.7404 b=7.7404 c=6.3226 alpha=52.26 beta=52.26 gamma=90.00
Last column: nearest neighbours and their distance in Å.
Fractional coordinates of all 8 atoms:
Br 0.5000 0.5000 0.0000  4 Ag 2.85, 2 Cd 3.17
Br 0.2500 0.7500 0.5000  4 Ag 2.85, 2 Cd 3.17
Ag 0.6253 0.1250 0.2500  2 Cd 2.85, 2 Br 2.85, 2 Ag 3.17
Ag 0.1247 0.6250 0.2500  2 Cd 2.85, 2 Br 2.85, 2 Ag 3.17
Ag 0.3750 0.3747 0.7500  2 Cd 2.85, 2 Br 2.85, 2 Ag 3.17
Ag 0.8750 0.8753 0.7500  2 Cd 2.85, 2 Br 2.85, 2 Ag 3.17
Cd 0.0000 0.0000 0.0000  4 Ag 2.85, 2 Br 3.17
Cd 0.7500 0.2500 0.5000  4 Ag 2.85, 2 Br 3.17

---

*ii*
The following is a DFT calculation (GGA-PBE) of a relaxed CdAg2Br crystal.

Calculated values
symmetry: Pmmm

Unit cell a=3.4365 b=6.1245 c=4.4906 alpha=90.00 beta=90.00 gamma=90.00
Last column: nearest neighbours and their distance in Å.
Fractional coordinates of all 4 atoms:
Br 0.5000 0.0000 0.5000  4 Ag 2.83
Ag 0.0000 0.0000 0.0000  4 Br 2.83
Ag 0.5000 0.5000 0.0000  4 Cd 2.83
Cd 0.0000 0.5000 0.5000  4 Ag 2.83

---

Bottom line: *ii*, by a margin of 62 meV/atom.

---

*i*
The following is a DFT calculation (GGA-PBE) of a relaxed CoOsCl2 crystal.

Calculated values
symmetry: C2/m

Unit cell a=6.4613 b=5.6574 c=2.8570 alpha=59.85 beta=115.94 gamma=132.96
Last column: nearest neighbours and their distance in Å.
Fractional coordinates of all 4 atoms:
Co 0.0000 0.5000 0.5000  4 Cl 2.45
Os 0.5000 0.5000 0.0000  4 Cl 2.45
Cl 0.0000 0.0000 0.0000  2 Os 2.45, 2 Co 2.45
Cl 0.5000 0.0000 0.5000  2 Co 2.45, 2 Os 2.45

---

*ii*
The following is a DFT calculation (GGA-PBE) of a relaxed CoOsCl2 crystal.

Calculated values
symmetry: Cm

Unit cell a=6.6151 b=6.6151 c=5.3264 alpha=84.22 beta=84.22 gamma=25.70
Last column: nearest neighbours and their distance in Å.
Fractional coordinates of all 4 atoms:
Co 0.5703 0.5703 0.3030  2 Cl 2.23, 2 Os 2.38
Os 0.2080 0.2080 0.3806  2 Cl 2.33, 2 Co 2.38
Cl 0.9700 0.9700 0.1253  2 Co 2.23
Cl 0.7517 0.7517 0.6910  2 Os 2.33

---

Bottom line: *ii*, by a margin of 236 meV/atom.